10
Lattice="-0.963 -1.344 3.341 -0.315 -3.414 -1.464 10.941 -4.512 3.416" Properties=species:S:1:pos:R:3 comment="BaFeO3 | the Alexandria database | PBE+U | relaxed" total_magnetization_mub_per_fu=3.95 crystal_system=tetragonal e_tot_ry_per_atom=-0.409 pbc="T T T"
Fe 2.023 -3.630 3.282
Fe 7.316 -4.605 4.414
Ba 0.000 0.000 0.000
Ba 4.993 -5.152 1.445
O 8.555 -6.488 1.934
O 1.181 -4.748 1.324
O 3.511 -3.143 1.827
O 6.151 -6.126 3.467
O 1.558 -4.221 0.016
O 8.679 -5.151 2.507